Computed, not measured: a relaxed NiRu2Br crystal at the GGA-PBE level of DFT.

Lattice parameters (Å, degrees): 4.314 4.314 4.314 60.00 60.00 60.00
Fractional positions:
Ru 0.250 0.250 0.250
Ru 0.750 0.750 0.750
Br 0.500 0.500 0.500
Ni 0.000 0.000 0.000

Results
The calculation puts the raw formation energy at 87.3 kJ per mole of atoms. Its space group is No. 225. The total energy is -5.5962 eV/atom.



Computed, not measured: a relaxed NiRu2Br crystal at the GGA-PBE level of DFT.

Lattice parameters (Å, degrees): 2.939 3.464 6.087 90.00 90.00 90.00
Fractional positions:
Br 0.000 0.000 0.534
Ni 0.500 0.500 0.778
Ru 0.000 0.000 0.991
Ru 0.500 0.500 0.196

Results
The calculation puts the raw formation energy at 60.7 kJ per mole of atoms. Its space group is No. 25. The total energy is -5.8724 eV/atom.



Computed, not measured: a relaxed NiRu3Br crystal at the GGA-PBE level of DFT.

Lattice parameters (Å, degrees): 4.599 4.599 4.599 90.00 90.00 90.00
Each line ends with the local moment (μB).
Fractional positions:
Ru 0.000 0.500 0.000  2.25
Ru 0.000 0.000 0.500  2.36
Ru 0.500 0.000 0.000  1.72
Br 0.500 0.500 0.500  0.19
Ni 0.000 0.000 0.000  0.88

Results
The calculation puts the raw formation energy at 157.0 kJ per mole of atoms. Its space group is No. 221. The total energy is -5.4291 eV/atom.



Computed, not measured: a relaxed NiRu2Br crystal at the GGA-PBE level of DFT.

Lattice parameters (Å, degrees): 4.305 4.305 5.201 78.81 78.81 40.11
Fractional positions:
Br 0.750 0.750 0.750
Ni 0.250 0.250 0.250
Ru 0.996 0.996 0.044
Ru 0.504 0.504 0.456

Results
The calculation puts the raw formation energy at 68.2 kJ per mole of atoms. Its space group is No. 12. The total energy is -5.7945 eV/atom.



Computed, not measured: a relaxed NiRu2Br crystal at the GGA-PBE level of DFT.

Lattice parameters (Å, degrees): 3.436 2.834 6.762 89.95 90.00 90.00
Fractional positions:
Br 0.000 0.499 0.510
Ni 0.500 0.501 0.801
Ru 0.000 0.000 0.003
Ru 0.500 0.500 0.185

Results
The calculation puts the raw formation energy at 49.4 kJ per mole of atoms. Its space group is No. 6. The total energy is -5.9899 eV/atom.



Computed, not measured: a relaxed NiRu4Br crystal at the GGA-PBE level of DFT.

Lattice parameters (Å, degrees): 5.151 5.151 5.151 60.00 60.00 60.00
Each line ends with the local moment (μB).
Fractional positions:
Ni 0.000 0.000 0.000  0.56
Ru 0.876 0.375 0.375  0.74
Ru 0.375 0.375 0.876  0.74
Ru 0.375 0.876 0.375  0.74
Ru 0.375 0.375 0.375  0.74
Br 0.750 0.750 0.750  0.01

Results
The calculation puts the raw formation energy at 108.3 kJ per mole of atoms. Its space group is No. 216. The total energy is -6.3040 eV/atom.



Computed, not measured: a relaxed Ni3RuBr9 crystal at the GGA-PBE level of DFT.

Lattice parameters (Å, degrees): 9.009 9.864 10.973 74.26 65.76 62.83
Each line ends with the local moment (μB).
Fractional positions:
Ni 0.800 0.576 0.680  1.27
Ni 0.943 0.076 0.180  1.27
Ni 0.997 0.937 0.832  1.28
Ni 0.234 0.437 0.332  1.28
Ni 0.562 0.243 0.730  1.28
Ni 0.465 0.743 0.230  1.28
Ru 0.032 0.498 0.002  1.03
Ru 0.468 0.998 0.502  1.03
Br 0.355 0.169 0.314  0.11
Br 0.162 0.669 0.814  0.11
Br 0.328 0.276 0.938  0.14
Br 0.459 0.776 0.438  0.14
Br 0.149 0.074 0.650  0.14
Br 0.127 0.574 0.150  0.14
Br 0.746 0.731 0.071  0.15
Br 0.452 0.231 0.571  0.15
Br 0.789 0.940 0.366  0.16
Br 0.905 0.440 0.866  0.16
Br 0.551 0.816 0.701  0.15
Br 0.932 0.316 0.201  0.15
Br 0.490 0.492 0.250  0.26
Br 0.768 0.992 0.750  0.26
Br 0.706 0.413 0.631  0.20
Br 0.249 0.913 0.131  0.20
Br 0.836 0.092 0.012  0.22
Br 0.060 0.592 0.512  0.22

Results
The calculation puts the raw formation energy at -18.4 kJ per mole of atoms. Its space group is No. 9. The total energy is -3.3970 eV/atom.



Computed, not measured: a relaxed NiRu2Br crystal at the GGA-PBE level of DFT.

Lattice parameters (Å, degrees): 4.587 4.587 4.587 127.83 127.83 76.90
Fractional positions:
Br 0.500 0.500 0.000
Ni 0.750 0.250 0.500
Ru 0.000 0.000 0.000
Ru 0.250 0.750 0.500

Results
The calculation puts the raw formation energy at 88.7 kJ per mole of atoms. Its space group is No. 119. The total energy is -5.5817 eV/atom.